Co2AuF: optimized geometry, PBE with a Hubbard U.

Results
Its density of states at the Fermi level is 0.58 states/eV/atom. As for the space group: I-42d, No. 122. The total energy is -15.95 eV per formula unit. As for the theoretical density: 9.4 g/cm³.

Cell lengths 6.3223, 6.3223, 5.3623 Å; angles 53.88, 53.88, 90.00 degrees
Atoms (fractional coordinates):
Co1 0.5677 0.1250 0.2500
Co2 0.1823 0.6250 0.2500
Co3 0.3750 0.4323 0.7500
Co4 0.8750 0.8177 0.7500
Au1 0.0000 0.0000 0.0000
Au2 0.7500 0.2500 0.5000
F1 0.5000 0.5000 0.0000
F2 0.2500 0.7500 0.5000